Record 1
30
Lattice="5.7132 0.0000 -0.0018 0.0000 9.1943 0.0000 -0.0099 0.0000 11.4015" Properties=species:S:1:pos:R:3 comment="Li4ZnP2S8 (SCAN, PBEsol geometry)" volume_a3_per_fu=299.5 total_energy_ev_per_atom=-9.00 formation_energy_uncorrected_mev_per_atom=-937 pbc="T T T"
S 0.2464 7.8918 0.1500
S 2.7252 5.7683 0.2015
S 5.4964 3.4837 5.5169
S 0.1769 5.8411 8.3472
S 0.2070 8.0809 5.8828
S 2.6162 5.8093 5.9247
S 5.5264 1.2440 3.0525
S 5.5289 1.1735 8.7997
S 2.9781 1.1712 11.1983
S 2.6604 7.9732 2.6627
S 0.1744 5.7707 2.6000
S 2.6127 8.0257 8.3421
S 3.0871 1.2121 5.4750
S 5.4569 3.2947 11.2497
S 3.0429 3.3760 8.7371
S 3.0906 3.4285 3.0576
Li 1.3774 4.6019 9.9912
Li 1.4423 0.0682 4.2364
Li 4.2610 4.6653 7.1634
Li 1.4293 2.3152 7.0328
Li 1.4281 4.5957 4.2612
Li 4.2752 9.1928 7.1386
Li 4.2740 6.9123 4.3670
Li 4.3260 0.0047 1.4086
P 1.3606 6.9147 7.1249
P 1.4968 6.8671 1.4142
P 4.2065 2.2699 9.9856
P 4.3427 2.3175 4.2749
Zn 1.4263 9.1202 9.9881
Zn 4.2770 4.5231 1.4117

---

Record 2
5
Lattice="-1.7546 -1.5784 4.1287 -1.9929 -3.6824 -2.2548 4.0193 -2.6102 0.7103" Properties=species:S:1:pos:R:3 comment="NaTaRe2W (SCAN, PBEsol geometry)" formation_energy_ev_per_atom=1.848 volume_a3_per_fu=109.6 total_energy_ev_per_atom=-54.69 pbc="T T T"
Re -0.9965 -1.8412 -1.1274
Re -0.8773 -0.7892 2.0643
W 0.0000 0.0000 0.0000
Ta 2.0096 -1.3051 0.3551
Na 0.1358 -3.9355 1.2921

---

Record 3
5
Lattice="4.2401 0.0000 0.0000 0.0000 4.2401 0.0000 0.0000 0.0000 4.2401" Properties=species:S:1:pos:R:3 comment="Tc3CCl (SCAN, PBEsol geometry)" volume_a3_per_fu=76.2 total_energy_ev_per_atom=-22.17 formation_energy_uncorrected_mev_per_atom=2477 pbc="T T T"
Tc 0.0000 0.0000 2.1200
Tc 0.0000 2.1200 0.0000
Tc 2.1200 0.0000 0.0000
C 2.1200 2.1200 2.1200
Cl 0.0000 0.0000 0.0000

---

Record 4
4
Lattice="3.1147 0.0000 0.0000 0.0000 4.2280 0.0000 -1.5573 -2.1140 4.2194" Properties=species:S:1:pos:R:3 comment="ZnCrMo2 (SCAN, PBEsol geometry)" formation_energy_ev_per_atom=0.179 volume_a3_per_fu=55.6 total_energy_ev_per_atom=-25.24 pbc="T T T"
Mo 1.5573 2.1140 1.9494
Mo 0.0000 0.0000 2.2700
Cr 0.0000 2.1140 0.0000
Zn 1.5573 0.0000 0.0000

---

Record 5
3
Lattice="-0.3024 2.9483 3.4729 -0.5501 -1.5418 4.2620 3.4164 0.3405 3.0095" Properties=species:S:1:pos:R:3 comment="YCrAg (SCAN, PBEsol geometry)" formation_energy_ev_per_atom=0.321 volume_a3_per_fu=67.3 total_energy_ev_per_atom=-25.54 pbc="T T T"
Y 0.0000 0.0000 0.0000
Ag 1.2819 0.8735 5.3722
Cr 0.6410 0.4368 2.6861

---

Record 6
4
Lattice="2.7902 0.0000 0.0000 -1.3951 4.3900 0.0072 0.0000 -1.0728 4.7703" Properties=species:S:1:pos:R:3 comment="Al2IrW (SCAN, PBEsol geometry)" formation_energy_ev_per_atom=-0.345 volume_a3_per_fu=58.5 total_energy_ev_per_atom=-39.42 pbc="T T T"
W 1.3951 0.0000 0.0000
Ir 0.0000 -0.5364 2.3851
Al 0.0000 1.9790 1.2321
Al 1.3951 1.3381 3.5454

---

Record 7
4
Lattice="-0.4636 -2.3886 -1.1613 1.9138 -1.7748 2.8864 -4.3424 -0.4288 2.6155" Properties=species:S:1:pos:R:3 comment="LiTcIr2 (SCAN, PBEsol geometry)" formation_energy_ev_per_atom=-0.099 volume_a3_per_fu=53.4 total_energy_ev_per_atom=-45.01 pbc="T T T"
Li -2.1059 -0.2080 1.2684
Tc -2.5396 -2.4041 2.8290
Ir -4.2723 -0.4219 2.5733
Ir -0.4879 -2.2015 1.5931

---

Record 8
5
Lattice="-2.9461 -3.1407 0.2716 1.7726 -1.3430 3.6974 -3.1118 3.1468 2.6348" Properties=species:S:1:pos:R:3 comment="CuTeRuS2 (SCAN, PBEsol geometry)" volume_a3_per_fu=95.9 total_energy_ev_per_atom=-20.32 formation_energy_uncorrected_mev_per_atom=982 pbc="T T T"
S 0.8863 -0.6715 1.8487
S -1.4730 -1.5703 0.1358
Ru -2.1426 -0.6684 3.3019
Te -1.5559 1.5734 1.3174
Cu 0.0000 0.0000 0.0000